{"formula": "Tb5PrDyTm2", "functional": "PBE", "state": "relaxed", "ef_ev_per_atom": 0.162, "e_tot_ev_per_fu": -40.0, "mass_density_g_cm3": 8.11, "lattice": [[5.613, 0.000, 0.000], [-2.806, 9.963, 0.000], [0.000, 0.000, 10.512]], "species": ["Tb", "Tb", "Tb", "Tb", "Tb", "Tb", "Tb", "Tb", "Tb", "Tb", "Tm", "Tm", "Tm", "Tm", "Pr", "Pr", "Dy", "Dy"], "fractional_positions": [[0.298, 0.597, 0.709], [0.387, 0.775, 0.024], [0.613, 0.225, 0.524], [0.983, 0.966, 0.524], [0.478, 0.956, 0.738], [0.280, 0.561, 0.313], [0.720, 0.439, 0.813], [0.522, 0.044, 0.238], [0.702, 0.403, 0.209], [0.017, 0.034, 0.024], [0.114, 0.228, 0.319], [0.888, 0.776, 0.235], [0.886, 0.772, 0.819], [0.112, 0.224, 0.735], [0.415, 0.831, 0.450], [0.585, 0.169, 0.950], [0.801, 0.602, 0.513], [0.199, 0.398, 0.013]]}